# TmTh2Te2As2

TmTh2Te2As2 after structural relaxation (PBE, Alexandria via LeMat-Bulk).

Unit cell a=5.214 b=5.214 c=15.890 alpha=90.00 beta=90.00 gamma=90.00
Space group I4/mmm (No. 139)
Symmetry-distinct sites (fractional):
Tm1 0.000 0.000 0.000 (multiplicity 2)
Th1 0.000 0.000 0.390 (multiplicity 4)
Te1 0.000 0.000 0.189 (multiplicity 4)
As1 0.000 0.500 0.000 (multiplicity 4)

ρ in g cm⁻³: 7.98
Formation energy (no corrections) in eV/atom: -0.9650